No. 1
VASP calculation (PBE) on PrNd2Sm2Y4 after structural relaxation.

Properties
The density of states at the Fermi level is 12.6 states/eV/cell. The calculation puts the calculated formation energy at -4 meV/atom. As for the uncorrected energy: -5.52 eV/atom. The space group is C2/m, No. 12.

Cell: 9.6602 9.6602 9.7155 Å, 115.24 115.24 21.82°
Closest atoms and distances in Å follow each position.
Fractional coordinates of all 9 atoms:
Pr  0.0000  0.0000  0.0000  6 Y 3.61-3.62, 4 Nd 3.65, 2 Pr 3.66
Nd  0.3333  0.3333  0.9993  3 Sm 3.61-3.62, 3 Y 3.62-3.63, 2 Pr 3.65, 4 Nd 3.66
Nd  0.6667  0.6667  0.0007  3 Sm 3.61-3.62, 3 Y 3.62-3.63, 2 Pr 3.65, 4 Nd 3.66
Sm  0.1477  0.1477  0.6644  7 Y 3.56-3.66, 3 Nd 3.61-3.62, 2 Sm 3.66
Sm  0.8523  0.8523  0.3356  7 Y 3.56-3.66, 3 Nd 3.61-3.62, 2 Sm 3.66
Y  0.1857  0.1857  0.3362  3 Sm 3.56-3.65, 6 Y 3.56-3.66, 2 Nd 3.62, 1 Pr 3.62
Y  0.4804  0.4804  0.6644  4 Sm 3.57-3.66, 5 Y 3.58-3.66, 2 Pr 3.61, 1 Nd 3.63
Y  0.5196  0.5196  0.3356  4 Sm 3.57-3.66, 5 Y 3.58-3.66, 2 Pr 3.61, 1 Nd 3.63
Y  0.8143  0.8143  0.6638  3 Sm 3.56-3.65, 6 Y 3.56-3.66, 2 Nd 3.62, 1 Pr 3.62

***

No. 2
VASP calculation (PBE) on Nd2Sm5DyEr after structural relaxation.

Properties
The density of states at the Fermi level is 26.5 states/eV/cell. The calculation puts the calculated formation energy at 276 meV/atom. As for the uncorrected energy: -4.42 eV/atom. The space group is I4/mcm, No. 140.

Cell: 10.1964 10.1964 10.1964 Å, 129.88 129.88 73.60°
Closest atoms and distances in Å follow each position.
Fractional coordinates of all 18 atoms:
Nd  0.1201  0.6201  0.7401  1 Nd 2.93, 2 Sm 3.07
Nd  0.3799  0.1201  0.5000  1 Nd 2.93, 2 Sm 3.07
Nd  0.6201  0.8799  0.5000  1 Nd 2.93, 2 Sm 3.07
Nd  0.8799  0.3799  0.2599  1 Nd 2.93, 2 Sm 3.07
Sm  0.0000  0.0000  0.0000  4 Nd 3.44
Sm  0.0730  0.1427  0.5000  1 Nd 3.07, 1 Er 3.16
Sm  0.1427  0.6427  0.0697  1 Nd 3.07, 1 Er 3.16
Sm  0.3573  0.4270  0.5000  1 Nd 3.07, 1 Er 3.16
Sm  0.4270  0.9270  0.0697  1 Nd 3.07, 1 Er 3.16
Sm  0.5000  0.5000  0.0000  4 Nd 3.44
Sm  0.5730  0.0730  0.9303  1 Nd 3.07, 1 Er 3.16
Sm  0.6427  0.5730  0.5000  1 Nd 3.07, 1 Er 3.16
Sm  0.8573  0.3573  0.9303  1 Nd 3.07, 1 Er 3.16
Sm  0.9270  0.8573  0.5000  1 Nd 3.07, 1 Er 3.16
Dy  0.2500  0.2500  0.0000  8 Sm 3.55
Dy  0.7500  0.7500  0.0000  8 Sm 3.55
Er  0.2500  0.7500  0.5000  4 Sm 3.16
Er  0.7500  0.2500  0.5000  4 Sm 3.16

***

No. 3
VASP calculation (PBE) on Li2TaN2 after structural relaxation.

Properties
The density of states at the Fermi level is 3.3 states/eV/cell. As for the uncorrected energy: -6.17 eV/atom. The space group is P4/mbm, No. 127. The calculation puts the uncorrected formation energy at 0.2987 eV/atom.

Cell: 5.7041 5.7041 2.6506 Å, 90.00 90.00 90.00°
Closest atoms and distances in Å follow each position.
Fractional coordinates of all 10 atoms:
Li  0.1047  0.3953  0.0000  1 Li 1.69
Li  0.3953  0.8953  0.0000  1 Li 1.69
Li  0.6047  0.1047  0.0000  1 Li 1.69
Li  0.8953  0.6047  0.0000  1 Li 1.69
Ta  0.0000  0.0000  0.0000  4 Li 2.33, 8 N 2.45
Ta  0.5000  0.5000  0.0000  4 Li 2.33, 8 N 2.45
N  0.1988  0.6988  0.5000  6 Li 2.07-2.25
N  0.3012  0.1988  0.5000  6 Li 2.07-2.25
N  0.6988  0.8012  0.5000  6 Li 2.07-2.25
N  0.8012  0.3012  0.5000  6 Li 2.07-2.25

***

No. 4
VASP calculation (PBE) on Tb6SmZn2 after structural relaxation.

Properties
The density of states at the Fermi level is 10.2 states/eV/cell. The calculation puts the calculated formation energy at -141 meV/atom. As for the uncorrected energy: -4.04 eV/atom. The space group is C2/m, No. 12. As for the energy relative to the lowest polymorph listed for this composition: 0.0 meV per atom.

Cell: 6.5086 6.5086 11.8074 Å, 108.22 108.22 32.55°
Closest atoms and distances in Å follow each position.
Fractional coordinates of all 9 atoms:
Tb  0.0233  0.0233  0.3314  2 Zn 3.07, 1 Tb 3.43
Tb  0.3096  0.3096  0.1254  2 Zn 3.09, 3 Tb 3.36-3.38
Tb  0.3126  0.3126  0.4114  2 Zn 3.17, 4 Tb 3.36-3.51
Tb  0.6874  0.6874  0.5886  2 Zn 3.17, 4 Tb 3.36-3.51
Tb  0.6904  0.6904  0.8746  2 Zn 3.09, 3 Tb 3.36-3.38
Tb  0.9767  0.9767  0.6686  2 Zn 3.07, 1 Tb 3.43
Sm  0.0000  0.0000  0.0000  4 Zn 3.14
Zn  0.3503  0.3503  0.7921  6 Tb 3.07-3.17, 2 Sm 3.14
Zn  0.6497  0.6497  0.2079  6 Tb 3.07-3.17, 2 Sm 3.14